*a*
Here is FeOs2Ru after structural relaxation from Alexandria via LeMat-Bulk. Energies are from PBE.

Lattice parameters (Å, degrees): 4.6287 4.6287 2.6842 90.00 90.00 109.65
Closest atoms and distances in Å follow each position.
Atoms (fractional coordinates):
Fe1 0.0000 0.0000 0.0000  2 Ru 2.67, 8 Os 2.68, 2 Fe 2.68
Os1 0.0000 0.5000 0.5000  4 Os 2.67-2.68, 4 Fe 2.68, 4 Ru 2.68
Os2 0.5000 0.0000 0.5000  4 Os 2.67-2.68, 4 Fe 2.68, 4 Ru 2.68
Ru1 0.5000 0.5000 0.0000  2 Fe 2.67, 8 Os 2.68, 2 Ru 2.68

Values from the calculation:
M_tot, μB per formula unit: 1.3
Crystal system: orthorhombic
DOS(E_F), states/eV/f.u.: 4.46
Calculated volume, Å³ per cell: 54



*b*
Here is FeOs2Ru after structural relaxation from Alexandria via LeMat-Bulk. Energies are from PBE.

Lattice parameters (Å, degrees): 2.6757 2.6757 7.4499 90.00 90.00 90.00
Closest atoms and distances in Å follow each position.
Atoms (fractional coordinates):
Fe1 0.0000 0.0000 0.0000  8 Os 2.60, 4 Fe 2.68
Os1 0.5000 0.5000 0.2385  4 Fe 2.60, 4 Os 2.68, 4 Ru 2.72
Os2 0.5000 0.5000 0.7615  4 Fe 2.60, 4 Os 2.68, 4 Ru 2.72
Ru1 0.0000 0.0000 0.5000  4 Ru 2.68, 8 Os 2.72

Values from the calculation:
M_tot, μB per formula unit: 0.3
Crystal system: tetragonal
DOS(E_F), states/eV/f.u.: 4.36
Calculated volume, Å³ per cell: 53



Energies relative to the most stable structure are *a* 0.016; *b* 0.000, reported in eV/atom.



*a*
Here is FeOs2Ru after structural relaxation from Alexandria via LeMat-Bulk. Energies are from PBE.

Lattice parameters (Å, degrees): 4.2953 4.2953 4.2953 60.00 60.00 60.00
Closest atoms and distances in Å follow each position.
Atoms (fractional coordinates):
Fe1 0.0000 0.0000 0.0000  8 Os 2.63
Os1 0.2500 0.2500 0.2500  4 Fe 2.63, 4 Ru 2.63
Os2 0.7500 0.7500 0.7500  4 Fe 2.63, 4 Ru 2.63
Ru1 0.5000 0.5000 0.5000  8 Os 2.63

Values from the calculation:
M_tot, μB per formula unit: 4.1
Crystal system: cubic
DOS(E_F), states/eV/f.u.: 5.89
Calculated volume, Å³ per cell: 56



*b*
Here is FeOs2Ru after structural relaxation from Alexandria via LeMat-Bulk. Energies are from PBE.

Lattice parameters (Å, degrees): 6.7045 6.7045 6.7045 133.81 133.81 67.39
Closest atoms and distances in Å follow each position.
Atoms (fractional coordinates):
Fe1 0.0000 0.0000 0.0000  4 Os 2.26
Fe2 0.7500 0.2500 0.5000  4 Os 2.26
Os1 0.1009 0.6250 0.9759  2 Fe 2.26, 2 Ru 2.40
Os2 0.3750 0.3509 0.4759  2 Fe 2.26, 2 Ru 2.40
Os3 0.6491 0.1250 0.0241  2 Fe 2.26, 2 Ru 2.40
Os4 0.8750 0.8991 0.5241  2 Fe 2.26, 2 Ru 2.40
Ru1 0.2500 0.7500 0.5000  4 Os 2.40
Ru2 0.5000 0.5000 0.0000  4 Os 2.40

Values from the calculation:
M_tot, μB per formula unit: 0.0
Crystal system: tetragonal
DOS(E_F), states/eV/f.u.: 4.40
Calculated volume, Å³ per cell: 154



Energies relative to the most stable structure are *a* 0.000; *b* 0.775, reported in eV/atom.



*a*
Here is FeOs3Ru after structural relaxation from Alexandria via LeMat-Bulk. Energies are from PBE.

Lattice parameters (Å, degrees): 6.3251 6.3251 5.4388 90.00 90.00 139.61
Closest atoms and distances in Å follow each position.
Atoms (fractional coordinates):
Fe1 0.0001 0.9999 0.2500  2 Ru 2.56, 6 Os 2.58-2.60, 2 Fe 2.72
Fe2 0.9999 0.0001 0.7500  2 Ru 2.56, 6 Os 2.58-2.60, 2 Fe 2.72
Os1 0.1867 0.8133 0.5009  2 Fe 2.60, 7 Os 2.65-2.73, 3 Ru 2.71-2.74
Os2 0.1867 0.8133 0.9991  2 Fe 2.60, 7 Os 2.65-2.73, 3 Ru 2.71-2.74
Os3 0.3844 0.6156 0.7500  2 Fe 2.58, 6 Os 2.71, 3 Ru 2.72
Os4 0.6156 0.3844 0.2500  2 Fe 2.58, 6 Os 2.71, 3 Ru 2.72
Os5 0.8133 0.1867 0.0009  2 Fe 2.60, 7 Os 2.65-2.73, 3 Ru 2.71-2.74
Os6 0.8133 0.1867 0.4991  2 Fe 2.60, 7 Os 2.65-2.73, 3 Ru 2.71-2.74
Ru1 0.3869 0.6131 0.2500  2 Fe 2.56, 9 Os 2.71-2.74
Ru2 0.6131 0.3869 0.7500  2 Fe 2.56, 9 Os 2.71-2.74

Values from the calculation:
M_tot, μB per formula unit: 2.4
Crystal system: orthorhombic
DOS(E_F), states/eV/f.u.: 3.90
Calculated volume, Å³ per cell: 141



*b*
Here is FeOs3Ru after structural relaxation from Alexandria via LeMat-Bulk. Energies are from PBE.

Lattice parameters (Å, degrees): 4.3435 4.3435 4.3435 90.00 90.00 90.00
Closest atoms and distances in Å follow each position.
Atoms (fractional coordinates):
Fe1 0.0000 0.0000 0.0000  6 Os 2.17
Os1 0.0000 0.0000 0.5000  2 Fe 2.17
Os2 0.0000 0.5000 0.0000  2 Fe 2.17
Os3 0.5000 0.0000 0.0000  2 Fe 2.17
Ru1 0.5000 0.5000 0.5000  12 Os 3.07

Values from the calculation:
M_tot, μB per formula unit: 0.0
Crystal system: cubic
DOS(E_F), states/eV/f.u.: 7.43
Calculated volume, Å³ per cell: 82



Energies relative to the most stable structure are *a* 0.000; *b* 1.677, reported in eV/atom.



*a*
Here is FeOsS2 after structural relaxation from Alexandria via LeMat-Bulk. Energies are from PBE.

Lattice parameters (Å, degrees): 7.6008 7.6008 7.6008 24.36 24.36 24.36
Closest atoms and distances in Å follow each position.
Atoms (fractional coordinates):
Fe1 0.0000 0.0000 0.0000  2 S 2.17
Os1 0.5000 0.5000 0.5000  6 S 2.39
S1 0.0982 0.0982 0.0982  1 Fe 2.17, 3 Os 2.39
S2 0.9018 0.9018 0.9018  1 Fe 2.17, 3 Os 2.39

Values from the calculation:
M_tot, μB per formula unit: 2.4
Crystal system: trigonal
DOS(E_F), states/eV/f.u.: 4.39
Calculated volume, Å³ per cell: 66



*b*
Here is FeOsS2 after structural relaxation from Alexandria via LeMat-Bulk. Energies are from PBE.

Lattice parameters (Å, degrees): 4.1852 4.1852 4.1852 60.00 60.00 60.00
Closest atoms and distances in Å follow each position.
Atoms (fractional coordinates):
Fe1 0.0000 0.0000 0.0000  8 S 2.56
Os1 0.5000 0.5000 0.5000  8 S 2.56
S1 0.2500 0.2500 0.2500  4 Fe 2.56, 4 Os 2.56
S2 0.7500 0.7500 0.7500  4 Fe 2.56, 4 Os 2.56

Values from the calculation:
M_tot, μB per formula unit: 2.4
Crystal system: cubic
DOS(E_F), states/eV/f.u.: 3.08
Calculated volume, Å³ per cell: 52



Energies relative to the most stable structure are *a* 0.000; *b* 0.048, reported in eV/atom.



*a*
Here is FeOsS2 after structural relaxation from Alexandria via LeMat-Bulk. Energies are from PBE.

Lattice parameters (Å, degrees): 6.2339 6.2339 6.2339 131.95 131.95 70.31
Closest atoms and distances in Å follow each position.
Atoms (fractional coordinates):
Fe1 0.0000 0.0000 0.0000  4 S 2.15
Fe2 0.7500 0.2500 0.5000  4 S 2.15
Os1 0.2500 0.7500 0.5000  4 S 2.25
Os2 0.5000 0.5000 0.0000  4 S 2.25
S1 0.1076 0.6250 0.9826  2 Fe 2.15, 2 Os 2.25
S2 0.3750 0.3576 0.4826  2 Fe 2.15, 2 Os 2.25
S3 0.6424 0.1250 0.0174  2 Fe 2.15, 2 Os 2.25
S4 0.8750 0.8924 0.5174  2 Fe 2.15, 2 Os 2.25

Values from the calculation:
M_tot, μB per formula unit: 0.9
Crystal system: tetragonal
DOS(E_F), states/eV/f.u.: 2.57
Calculated volume, Å³ per cell: 131



*b*
Here is FeOsS2 after structural relaxation from Alexandria via LeMat-Bulk. Energies are from PBE.

Lattice parameters (Å, degrees): 7.5213 7.5213 7.5213 22.82 22.82 22.82
Closest atoms and distances in Å follow each position.
Atoms (fractional coordinates):
Fe1 0.0000 0.0000 0.0000  6 S 2.23
Os1 0.5000 0.5000 0.5000  2 S 2.23
S1 0.3983 0.3983 0.3983  1 Os 2.23, 3 Fe 2.23
S2 0.6017 0.6017 0.6017  1 Os 2.23, 3 Fe 2.23

Values from the calculation:
M_tot, μB per formula unit: 1.2
Crystal system: trigonal
DOS(E_F), states/eV/f.u.: 3.63
Calculated volume, Å³ per cell: 56



Energies relative to the most stable structure are *a* 0.000; *b* 0.054, reported in eV/atom.



*a*
Here is ScFeOs2 after structural relaxation from Alexandria via LeMat-Bulk. Energies are from PBE.

Lattice parameters (Å, degrees): 2.8075 3.8737 5.5659 90.00 90.00 90.00
Closest atoms and distances in Å follow each position.
Atoms (fractional coordinates):
Sc1 0.0000 0.0000 0.0000  4 Fe 2.78, 6 Os 2.78-2.88, 2 Sc 2.81
Fe1 0.5000 0.5000 0.2548  5 Os 2.54-2.75, 4 Sc 2.78, 2 Fe 2.81
Os1 0.0000 0.0000 0.5002  6 Os 2.66-2.81, 4 Fe 2.75, 2 Sc 2.78
Os2 0.5000 0.5000 0.7113  1 Fe 2.54, 6 Os 2.66-2.81

Values from the calculation:
M_tot, μB per formula unit: 2.3
Crystal system: orthorhombic
DOS(E_F), states/eV/f.u.: 4.92
Calculated volume, Å³ per cell: 61



*b*
Here is ScFeOs2 after structural relaxation from Alexandria via LeMat-Bulk. Energies are from PBE.

Lattice parameters (Å, degrees): 5.3076 5.3076 4.4480 111.17 111.17 30.83
Closest atoms and distances in Å follow each position.
Atoms (fractional coordinates):
Sc1 0.0000 0.0000 0.0000  4 Fe 2.63, 2 Sc 2.82, 2 Os 2.94
Fe1 0.5000 0.5000 0.5000  4 Os 2.51, 4 Sc 2.63
Os1 0.2185 0.2185 0.7189  2 Fe 2.51, 4 Os 2.67-2.73
Os2 0.7815 0.7815 0.2811  2 Fe 2.51, 4 Os 2.67-2.73

Values from the calculation:
M_tot, μB per formula unit: 1.4
Crystal system: monoclinic
DOS(E_F), states/eV/f.u.: 4.24
Calculated volume, Å³ per cell: 60



*c*
Here is ScFeOs2 after structural relaxation from Alexandria via LeMat-Bulk. Energies are from PBE.

Lattice parameters (Å, degrees): 4.7684 4.7684 4.7684 131.50 131.50 71.02
Closest atoms and distances in Å follow each position.
Atoms (fractional coordinates):
Sc1 0.0000 0.0000 0.0000  8 Os 2.76, 4 Fe 2.77
Fe1 0.5000 0.5000 0.0000  8 Os 2.76, 4 Sc 2.77
Os1 0.2500 0.7500 0.5000  4 Fe 2.76, 4 Sc 2.76, 4 Os 2.77
Os2 0.7500 0.2500 0.5000  4 Fe 2.76, 4 Sc 2.76, 4 Os 2.77

Values from the calculation:
M_tot, μB per formula unit: 2.0
Crystal system: tetragonal
DOS(E_F), states/eV/f.u.: 5.17
Calculated volume, Å³ per cell: 60



Energies relative to the most stable structure are *a* 0.044; *b* 0.000; *c* 0.125, reported in eV/atom.